#w
VASP calculation (PBE-GGA) on a relaxed SiPt2Cl crystal.

Lattice parameters (Å, degrees): 2.834 4.104 5.993 90.00 90.00 90.00
Sites, in units of the cell vectors:
Si (0.000, 0.000, 0.000)
Pt (0.000, 0.500, 0.500)
Pt (0.500, 0.500, 0.000)
Cl (0.500, 0.000, 0.500)

total magnetization = 0.0 μB per formula unit

---

#x
VASP calculation (PBE-GGA) on a relaxed SiPt2Cl crystal.

Lattice parameters (Å, degrees): 3.112 3.067 7.069 90.00 90.06 90.00
Sites, in units of the cell vectors:
Si (0.000, 0.000, 0.000)
Pt (0.499, 0.500, 0.811)
Pt (0.501, 0.500, 0.189)
Cl (0.500, 0.000, 0.500)

total magnetization = 0.0 μB per formula unit

---

It is #x that is the most stable of them.

---

#w
VASP calculation (PBE-GGA) on a relaxed SiPtCl2 crystal.

Lattice parameters (Å, degrees): 4.409 4.409 3.945 90.00 90.00 97.81
Sites, in units of the cell vectors:
Si (0.000, 0.000, 0.000)
Pt (0.500, 0.500, 0.000)
Cl (0.264, 0.736, 0.500)
Cl (0.736, 0.264, 0.500)

total magnetization = 0.0 μB per formula unit

---

#x
VASP calculation (PBE-GGA) on a relaxed SiPtCl2 crystal.

Lattice parameters (Å, degrees): 8.679 8.679 8.679 20.79 20.79 20.79
Sites, in units of the cell vectors:
Si (0.000, 0.000, 0.000)
Pt (0.500, 0.500, 0.500)
Cl (0.258, 0.258, 0.258)
Cl (0.742, 0.742, 0.742)

total magnetization = 0.0 μB per formula unit

---

It is #w that is the most stable of them.

---

#w
VASP calculation (PBE-GGA) on a relaxed Si2PtCl crystal.

Lattice parameters (Å, degrees): 7.220 7.220 7.220 133.34 133.34 68.13
Sites, in units of the cell vectors:
Si (0.047, 0.625, 0.922)
Si (0.375, 0.297, 0.422)
Si (0.703, 0.125, 0.078)
Si (0.875, 0.953, 0.578)
Pt (0.000, 0.000, 0.000)
Pt (0.750, 0.250, 0.500)
Cl (0.250, 0.750, 0.500)
Cl (0.500, 0.500, 0.000)

total magnetization = 0.0 μB per formula unit

---

#x
VASP calculation (PBE-GGA) on a relaxed Si2PtCl crystal.

Lattice parameters (Å, degrees): 3.126 3.126 7.088 90.00 90.00 90.21
Sites, in units of the cell vectors:
Si (0.000, 0.000, 0.209)
Si (0.000, 0.000, 0.791)
Pt (0.500, 0.500, 0.000)
Cl (0.500, 0.500, 0.500)

total magnetization = 0.0 μB per formula unit

---

It is #w that is the most stable of them.

---

#w
VASP calculation (PBE-GGA) on a relaxed Sn3PtCl crystal.

Lattice parameters (Å, degrees): 5.221 5.221 5.221 90.00 90.00 90.00
Sites, in units of the cell vectors:
Sn (0.000, 0.000, 0.500)
Sn (0.000, 0.500, 0.000)
Sn (0.500, 0.000, 0.000)
Pt (0.500, 0.500, 0.500)
Cl (0.000, 0.000, 0.000)

total magnetization = 0.0 μB per formula unit

---

#x
VASP calculation (PBE-GGA) on a relaxed Sn3PtCl crystal.

Lattice parameters (Å, degrees): 5.304 5.304 5.304 90.00 90.00 90.00
Sites, in units of the cell vectors:
Sn (0.000, 0.000, 0.500)
Sn (0.000, 0.500, 0.000)
Sn (0.500, 0.000, 0.000)
Pt (0.000, 0.000, 0.000)
Cl (0.500, 0.500, 0.500)

total magnetization = 0.0 μB per formula unit

---

It is #x that is the most stable of them.

---

#w
VASP calculation (PBE-GGA) on a relaxed SnPtCl2 crystal.

Lattice parameters (Å, degrees): 4.907 4.907 4.907 60.00 60.00 60.00
Sites, in units of the cell vectors:
Sn (0.000, 0.000, 0.000)
Pt (0.500, 0.500, 0.500)
Cl (0.250, 0.250, 0.250)
Cl (0.750, 0.750, 0.750)

total magnetization = 0.0 μB per formula unit

---

#x
VASP calculation (PBE-GGA) on a relaxed SnPtCl2 crystal.

Lattice parameters (Å, degrees): 9.344 9.344 9.344 20.55 20.55 20.55
Sites, in units of the cell vectors:
Sn (0.000, 0.000, 0.000)
Pt (0.500, 0.500, 0.500)
Cl (0.417, 0.417, 0.417)
Cl (0.583, 0.583, 0.583)

total magnetization = 0.0 μB per formula unit

---

#y
VASP calculation (PBE-GGA) on a relaxed SnPtCl2 crystal.

Lattice parameters (Å, degrees): 9.368 9.368 9.368 151.81 151.81 40.29
Sites, in units of the cell vectors:
Sn (0.000, 0.000, 0.000)
Sn (0.750, 0.250, 0.500)
Pt (0.250, 0.750, 0.500)
Pt (0.500, 0.500, 0.000)
Cl (0.156, 0.625, 0.031)
Cl (0.375, 0.406, 0.531)
Cl (0.594, 0.125, 0.969)
Cl (0.875, 0.844, 0.469)

total magnetization = 0.0 μB per formula unit

---

It is #x that is the most stable of them.

---

#w
VASP calculation (PBE-GGA) on a relaxed SrPtCl4 crystal.

Lattice parameters (Å, degrees): 5.920 5.920 5.920 60.00 60.00 60.00
Sites, in units of the cell vectors:
Sr (0.000, 0.000, 0.000)
Pt (0.250, 0.250, 0.250)
Cl (0.126, 0.625, 0.625)
Cl (0.625, 0.126, 0.625)
Cl (0.625, 0.625, 0.126)
Cl (0.625, 0.625, 0.625)

total magnetization = 2.2 μB per formula unit

---

#x
VASP calculation (PBE-GGA) on a relaxed SrPtCl4 crystal.

Lattice parameters (Å, degrees): 6.127 6.127 6.127 111.34 111.34 105.80
Sites, in units of the cell vectors:
Sr (0.000, 0.000, 0.000)
Pt (0.250, 0.750, 0.500)
Cl (0.011, 0.985, 0.498)
Cl (0.015, 0.513, 0.026)
Cl (0.487, 0.513, 0.502)
Cl (0.487, 0.989, 0.974)

total magnetization = 0.0 μB per formula unit

---

It is #x that is the most stable of them.

---

#w
VASP calculation (PBE-GGA) on a relaxed SrPtCl3 crystal.

Lattice parameters (Å, degrees): 5.583 5.583 5.583 90.00 90.00 90.00
Sites, in units of the cell vectors:
Sr (0.000, 0.000, 0.000)
Pt (0.500, 0.500, 0.500)
Cl (0.000, 0.000, 0.500)
Cl (0.000, 0.500, 0.000)
Cl (0.500, 0.000, 0.000)

total magnetization = 1.0 μB per formula unit

---

#x
VASP calculation (PBE-GGA) on a relaxed SrPtCl3 crystal.

Lattice parameters (Å, degrees): 5.020 5.020 5.020 90.00 90.00 90.00
Sites, in units of the cell vectors:
Sr (0.000, 0.000, 0.000)
Pt (0.500, 0.500, 0.500)
Cl (0.000, 0.500, 0.500)
Cl (0.500, 0.000, 0.500)
Cl (0.500, 0.500, 0.000)

total magnetization = 0.0 μB per formula unit

---

It is #x that is the most stable of them.

---

#w
VASP calculation (PBE-GGA) on a relaxed Sr2PtCl2 crystal.

Lattice parameters (Å, degrees): 8.351 8.351 3.607 90.00 90.00 90.00
Sites, in units of the cell vectors:
Sr (0.185, 0.315, 0.000)
Sr (0.315, 0.815, 0.000)
Sr (0.685, 0.185, 0.000)
Sr (0.815, 0.685, 0.000)
Pt (0.000, 0.000, 0.500)
Pt (0.500, 0.500, 0.500)
Cl (0.124, 0.624, 0.500)
Cl (0.376, 0.124, 0.500)
Cl (0.624, 0.876, 0.500)
Cl (0.876, 0.376, 0.500)

total magnetization = 0.0 μB per formula unit

---

#x
VASP calculation (PBE-GGA) on a relaxed Sr2PtCl2 crystal.

Lattice parameters (Å, degrees): 6.213 6.213 6.213 127.51 127.51 77.42
Sites, in units of the cell vectors:
Sr (0.250, 0.750, 0.500)
Sr (0.750, 0.250, 0.500)
Pt (0.000, 0.000, 0.000)
Cl (0.344, 0.344, 0.000)
Cl (0.656, 0.656, 0.000)

total magnetization = 0.0 μB per formula unit

---

It is #w that is the most stable of them.

---

#w
VASP calculation (PBE-GGA) on a relaxed SrPt3Cl crystal.

Lattice parameters (Å, degrees): 5.336 5.336 5.336 90.00 90.00 90.00
Sites, in units of the cell vectors:
Sr (0.000, 0.000, 0.000)
Pt (0.000, 0.000, 0.500)
Pt (0.000, 0.500, 0.000)
Pt (0.500, 0.000, 0.000)
Cl (0.500, 0.500, 0.500)

total magnetization = 0.7 μB per formula unit

---

#x
VASP calculation (PBE-GGA) on a relaxed SrPt3Cl crystal.

Lattice parameters (Å, degrees): 4.747 4.747 4.747 90.00 90.00 90.00
Sites, in units of the cell vectors:
Sr (0.000, 0.000, 0.000)
Pt (0.000, 0.500, 0.500)
Pt (0.500, 0.000, 0.500)
Pt (0.500, 0.500, 0.000)
Cl (0.500, 0.500, 0.500)

total magnetization = 0.0 μB per formula unit

---

It is #x that is the most stable of them.

---

#w
VASP calculation (PBE-GGA) on a relaxed TaPt2Cl crystal.

Lattice parameters (Å, degrees): 4.965 4.965 2.819 90.00 90.00 90.00
Sites, in units of the cell vectors:
Ta (0.000, 0.000, 0.000)
Pt (0.000, 0.500, 0.500)
Pt (0.500, 0.000, 0.500)
Cl (0.500, 0.500, 0.000)

total magnetization = 0.0 μB per formula unit

---

#x
VASP calculation (PBE-GGA) on a relaxed TaPt2Cl crystal.

Lattice parameters (Å, degrees): 6.276 6.276 6.276 116.90 116.90 95.46
Sites, in units of the cell vectors:
Ta (0.000, 0.000, 0.000)
Ta (0.750, 0.250, 0.500)
Pt (0.107, 0.625, 0.982)
Pt (0.375, 0.357, 0.482)
Pt (0.643, 0.125, 0.018)
Pt (0.875, 0.893, 0.518)
Cl (0.250, 0.750, 0.500)
Cl (0.500, 0.500, 0.000)

total magnetization = 0.0 μB per formula unit

---

It is #x that is the most stable of them.

---

#w
VASP calculation (PBE-GGA) on a relaxed TaPt2Cl crystal.

Lattice parameters (Å, degrees): 2.917 2.917 8.668 90.00 90.00 90.00
Sites, in units of the cell vectors:
Ta (0.000, 0.000, 0.000)
Pt (0.000, 0.000, 0.563)
Pt (0.500, 0.500, 0.795)
Cl (0.500, 0.500, 0.189)

total magnetization = 0.0 μB per formula unit

---

#x
VASP calculation (PBE-GGA) on a relaxed TaPt2Cl crystal.

Lattice parameters (Å, degrees): 3.007 3.007 7.761 90.00 90.00 90.00
Sites, in units of the cell vectors:
Ta (0.000, 0.000, 0.000)
Pt (0.500, 0.500, 0.226)
Pt (0.500, 0.500, 0.774)
Cl (0.000, 0.000, 0.500)

total magnetization = 0.0 μB per formula unit

---

#y
VASP calculation (PBE-GGA) on a relaxed TaPt2Cl crystal.

Lattice parameters (Å, degrees): 2.885 4.562 5.042 90.00 90.00 90.00
Sites, in units of the cell vectors:
Ta (0.000, 0.000, 0.000)
Pt (0.000, 0.500, 0.500)
Pt (0.500, 0.000, 0.500)
Cl (0.500, 0.500, 0.000)

total magnetization = 0.0 μB per formula unit

---

#z
VASP calculation (PBE-GGA) on a relaxed TaPt2Cl crystal.

Lattice parameters (Å, degrees): 7.922 7.922 7.922 24.96 24.96 24.96
Sites, in units of the cell vectors:
Ta (0.000, 0.000, 0.000)
Pt (0.260, 0.260, 0.260)
Pt (0.740, 0.740, 0.740)
Cl (0.500, 0.500, 0.500)

total magnetization = 0.0 μB per formula unit

---

It is #z that is the most stable of them.

---

#w
VASP calculation (PBE-GGA) on a relaxed TaPt2Cl crystal.

Lattice parameters (Å, degrees): 4.604 4.604 4.604 60.00 60.00 60.00
Sites, in units of the cell vectors:
Ta (0.000, 0.000, 0.000)
Pt (0.250, 0.250, 0.250)
Pt (0.750, 0.750, 0.750)
Cl (0.500, 0.500, 0.500)

total magnetization = 0.0 μB per formula unit

---

#x
VASP calculation (PBE-GGA) on a relaxed TaPt2Cl crystal.

Lattice parameters (Å, degrees): 4.771 4.771 6.829 97.21 97.21 35.76
Sites, in units of the cell vectors:
Ta (0.000, 0.000, 0.000)
Pt (0.474, 0.474, 0.320)
Pt (0.735, 0.735, 0.131)
Cl (0.429, 0.429, 0.710)

total magnetization = 0.0 μB per formula unit

---

It is #x that is the most stable of them.